## VSiHgO6 (GGA+U)

Data for VSiHgO6 after structural relaxation.

a b c (Å): 4.9640 4.9640 4.7525
angles (deg): 90.00 90.00 120.00
Last column: nearest neighbours and their distance in Å.
Sites, in units of the cell vectors:
V: 0.0000 0.0000 0.0000  6 O 1.89
Si: 0.6667 0.3333 0.0000  6 O 1.79
Hg: 0.3333 0.6667 0.5000  6 O 2.34
O: 0.3479 0.0536 0.7926  1 Si 1.79, 1 V 1.89
O: 0.3479 0.2943 0.2074  1 Si 1.79, 1 V 1.89
O: 0.7057 0.0536 0.2074  1 Si 1.79, 1 V 1.89
O: 0.7057 0.6521 0.7926  1 Si 1.79, 1 V 1.89
O: 0.9464 0.2943 0.7926  1 Si 1.79, 1 V 1.89
O: 0.9464 0.6521 0.2074  1 Si 1.79, 1 V 1.89

SG ... P312, No. 149
Energy ... -0.4616 Ry/atom